PuMn2PbO8 | the Alexandria database | PBE with a Hubbard U | optimized geometry; density of states at the Fermi level = 6.24 states/eV/f.u.; calculated density = 5.65 g/cm³; electronic total energy = -7.487 eV/atom; total moment = 8.00 μB/cell
1.0
5.772 0.000 0.000
-2.886 4.999 0.000
0.000 0.000 7.016
Pu Mn Pb O
1 2 1 8
Direct
0.000 0.000 0.000
0.333 0.667 0.727
0.667 0.333 0.273
0.000 0.000 0.500
0.161 0.321 0.808
0.161 0.839 0.808
0.321 0.161 0.192
0.333 0.667 0.489
0.667 0.333 0.511
0.679 0.839 0.808
0.839 0.161 0.192
0.839 0.679 0.192